1.
The following is a DFT calculation (PBE) of a geometry-optimized LaPr3Ga4 structure.

Lattice parameters (Å, degrees): 3.7515 7.0572 17.2351 90.00 90.00 90.00
Last column: nearest neighbours and their distance in Å.
Space group Immm (No. 71)
Symmetry-distinct sites (fractional):
La 0.0000 0.0000 0.0000  4 Ga 3.16
Pr 0.0000 0.0000 0.5000  8 Ga 3.22
Pr 0.0000 0.5000 0.2993  6 Ga 3.14-3.18
Ga 0.0000 0.3140 0.1310  1 Ga 2.62

**Formation enthalpy at 0 K**: -3.346 eV/f.u.
**Calculated total energy**: -0.1595 hartree per atom
**Mass density**: 6.12 Mg/m³
**ΔE to the lowest computed polymorph**: 130 meV/atom

***

2.
The following is a DFT calculation (PBE) of a geometry-optimized TbNd4Ga4 structure.

Lattice parameters (Å, degrees): 10.3351 10.3351 4.8022 90.00 90.00 90.00
Last column: nearest neighbours and their distance in Å.
Space group I4/m (No. 87)
Symmetry-distinct sites (fractional):
Tb 0.0000 0.0000 0.0000  8 Ga 3.05
Nd 0.1337 0.3537 0.0000  4 Ga 3.04-3.15
Ga 0.0699 0.1674 0.5000  2 Ga 2.65

**Formation enthalpy at 0 K**: -3.551 eV/f.u.
**Calculated total energy**: -0.1607 hartree per atom
**Mass density**: 6.57 Mg/m³

***

3.
The following is a DFT calculation (PBE) of a geometry-optimized Sr2AgRh structure.

Lattice parameters (Å, degrees): 3.8113 5.0277 6.1626 90.00 90.00 90.00
Last column: nearest neighbours and their distance in Å.
Space group Pmm2 (No. 25)
Symmetry-distinct sites (fractional):
Sr 0.0000 0.0000 0.0000  2 Ag 3.07-3.09, 4 Rh 3.15
Sr 0.5000 0.5000 0.4919  2 Rh 3.08, 4 Ag 3.16
Ag 0.0000 0.0000 0.5022  6 Sr 3.07-3.16
Rh 0.5000 0.5000 0.9916  6 Sr 3.08-3.15

**Formation enthalpy at 0 K**: 0.034 eV/f.u.
**Calculated total energy**: -0.1243 hartree per atom
**Mass density**: 5.43 Mg/m³

***

4.
The following is a DFT calculation (PBE) of a geometry-optimized TiAgCl2 structure.

Lattice parameters (Å, degrees): 3.4537 3.4537 25.3747 90.00 90.00 120.00
Last column: nearest neighbours and their distance in Å.
Space group R-3m (No. 166, hexagonal axes)
Symmetry-distinct sites (fractional):
Ti 0.0000 0.0000 0.0000  2 Cl 2.35
Ag 0.0000 0.0000 0.5000  6 Cl 2.74
Cl 0.0000 0.0000 0.0928  1 Ti 2.35

**Calculated total energy**: -0.1440 hartree per atom
**Mass density**: 4.31 Mg/m³
**ΔE to the lowest computed polymorph**: 527 meV/atom